The following is a DFT calculation (GGA-PBEsol) of Zn2ReMo after structural relaxation.

```
4
Lattice="4.520 -1.357 0.000 4.520 1.357 0.000 -0.802 0.000 4.691" Properties=species:S:1:pos:R:3 pbc="T T T"
Zn 2.046 0.000 1.159
Zn 6.193 0.000 3.532
Re 4.520 0.000 0.000
Mo -0.401 0.000 2.345
```

Output
Energy = -6.8128 eV per atom
M_tot = 0.000 Bohr magnetons per cell
Crystal system = monoclinic
Volume = 14.39 Å³ per atom


The following is a DFT calculation (GGA-PBEsol) of ZnRe2Mo after structural relaxation.

```
4
Lattice="3.177 0.000 0.000 0.000 3.177 0.000 0.000 0.000 5.707" Properties=species:S:1:pos:R:3 pbc="T T T"
Zn 0.000 0.000 0.000
Re 1.588 1.588 1.380
Re 1.588 1.588 4.328
Mo 0.000 0.000 2.854
```

Output
Energy = -9.7702 eV per atom
M_tot = 0.000 Bohr magnetons per cell
Crystal system = tetragonal
Volume = 14.40 Å³ per atom


The following is a DFT calculation (GGA-PBEsol) of ZnRe3Mo after structural relaxation.

```
5
Lattice="4.632 0.000 0.000 0.000 4.632 0.000 0.000 0.000 4.632" Properties=species:S:1:pos:R:3 pbc="T T T"
Zn 0.000 0.000 0.000
Re 0.000 2.316 2.316
Re 2.316 0.000 2.316
Re 2.316 2.316 0.000
Mo 2.316 2.316 2.316
```

Output
Energy = -8.2940 eV per atom
M_tot = 0.278 Bohr magnetons per cell
Crystal system = cubic
Volume = 19.88 Å³ per atom


The following is a DFT calculation (GGA-PBEsol) of ZrRe2Mo after structural relaxation.

```
4
Lattice="3.152 0.000 0.000 0.000 3.152 0.000 0.000 0.000 6.495" Properties=species:S:1:pos:R:3 pbc="T T T"
Zr 0.000 0.000 0.000
Re 0.000 0.000 3.233
Re 1.576 1.576 4.777
Mo 1.576 1.576 1.735
```

Output
Energy = -11.8932 eV per atom
M_tot = 0.000 Bohr magnetons per cell
Crystal system = tetragonal
Volume = 16.13 Å³ per atom


The following is a DFT calculation (GGA-PBEsol) of ZrReMo2 after structural relaxation.

```
4
Lattice="2.749 -4.489 0.000 2.749 4.489 0.000 -0.927 0.000 2.613" Properties=species:S:1:pos:R:3 pbc="T T T"
Zr 0.000 0.000 0.000
Re 2.749 0.000 0.000
Mo 0.911 2.244 1.307
Mo 0.911 -2.244 1.307
```

Output
Energy = -11.5146 eV per atom
Energy above the lowest structure with this stoichiometry = 0 meV/atom
M_tot = 0.000 Bohr magnetons per cell
Crystal system = monoclinic
Volume = 16.13 Å³ per atom


The following is a DFT calculation (GGA-PBEsol) of ZrReMo2 after structural relaxation.

```
4
Lattice="1.574 -2.283 0.000 1.574 2.283 0.000 0.000 0.000 9.057" Properties=species:S:1:pos:R:3 pbc="T T T"
Zr 0.000 0.000 0.000
Re 0.000 0.000 4.529
Mo 1.574 0.000 2.409
Mo 1.574 0.000 6.649
```

Output
Energy = -11.4052 eV per atom
Energy above the lowest structure with this stoichiometry = 109 meV/atom
M_tot = 0.000 Bohr magnetons per cell
Crystal system = orthorhombic
Volume = 16.28 Å³ per atom